Entry 1:
## DySn5 (GGA-PBE)

Data for a relaxed DySn5 crystal.

Calculated values
Crystal system: orthorhombic

a = 4.562 Å, b = 4.612 Å, c = 7.989 Å
α = 106.78°, β = 90.00°, γ = 90.00°
Element x y z (fractional)
1 Sn 0.500 0.500 0.000
2 Sn 0.500 0.169 0.337
3 Sn 0.500 0.831 0.663
4 Sn 0.000 0.342 0.684
5 Sn 0.000 0.658 0.316
6 Dy 0.000 0.000 0.000



Entry 2:
## CaTbDyMg (GGA-PBE)

Data for a relaxed CaTbDyMg crystal.

Calculated values
Crystal system: cubic

a = 5.580 Å, b = 5.580 Å, c = 5.580 Å
α = 60.00°, β = 60.00°, γ = 60.00°
Element x y z (fractional)
1 Ca 0.000 0.000 0.000
2 Dy 0.750 0.750 0.750
3 Mg 0.500 0.500 0.500
4 Tb 0.250 0.250 0.250



DFT total energy readings, ordered: -26.03 -12.50 eV for the cell shown
DFT formation energy readings, ordered: -0.236 0.082 eV per atom
D(E_F) readings, ordered: 0.529 0.949 states/eV per atom